*1*
DFT (GGA-PBE) results for a geometry-optimized PmY3Ru structure.

Computed properties:
The calculation puts the calculated density at 5.343 g/cm³. The size of the total moment is 0.005 μB per formula unit.

a b c (Å): 5.4218 5.4218 5.4218
angles (deg): 90.00 90.00 90.00
Last column: nearest neighbours and their distance in Å.
Fractional coordinates of all 5 atoms:
Pm 0.5000 0.5000 0.5000  12 Y 3.83
Y 0.0000 0.5000 0.0000  2 Ru 2.71
Y 0.0000 0.0000 0.5000  2 Ru 2.71
Y 0.5000 0.0000 0.0000  2 Ru 2.71
Ru 0.0000 0.0000 0.0000  6 Y 2.71

***

*2*
DFT (GGA-PBE) results for a geometry-optimized PmY3Ru structure.

Computed properties:
The calculation puts the calculated density at 5.813 g/cm³. The size of the total moment is 0.000 μB per formula unit.

a b c (Å): 4.9178 6.5883 9.7628
angles (deg): 90.00 90.00 112.14
Last column: nearest neighbours and their distance in Å.
Fractional coordinates of all 10 atoms:
Y 0.8677 0.7325 0.4995  2 Ru 2.92-2.95, 1 Y 3.27
Y 0.1323 0.2675 0.5005  2 Ru 2.92-2.95, 1 Y 3.27
Ru 0.9986 0.9965 0.2500  6 Y 2.92-2.96, 2 Pm 2.98-3.00
Pm 0.3626 0.7237 0.7500  2 Ru 2.98-3.00, 1 Y 3.33
Y 0.8677 0.7325 0.0005  2 Ru 2.92-2.95, 1 Y 3.27
Y 0.1323 0.2675 0.9995  2 Ru 2.92-2.95, 1 Y 3.27
Y 0.3658 0.7300 0.2500  2 Ru 2.94-2.96
Ru 0.0014 0.0035 0.7500  6 Y 2.92-2.96, 2 Pm 2.98-3.00
Pm 0.6374 0.2763 0.2500  2 Ru 2.98-3.00, 1 Y 3.33
Y 0.6342 0.2700 0.7500  2 Ru 2.94-2.96

***

*3*
DFT (GGA-PBE) results for a geometry-optimized PmY3Ru structure.

Computed properties:
The calculation puts the calculated density at 5.646 g/cm³. The size of the total moment is 0.000 μB per formula unit.

a b c (Å): 7.3480 7.3480 7.2950
angles (deg): 108.06 112.08 108.60
Last column: nearest neighbours and their distance in Å.
Fractional coordinates of all 10 atoms:
Y 0.2450 0.4503 0.2981  1 Ru 2.68
Y 0.7026 0.4464 0.1490  1 Ru 2.68
Y 0.1522 0.9469 0.7019  1 Ru 2.68
Y 0.7550 0.5497 0.7019  1 Ru 2.68
Pm 0.2894 0.9479 0.2374  1 Ru 2.67
Y 0.8478 0.0531 0.2981  1 Ru 2.68
Pm 0.7106 0.0521 0.7626  1 Ru 2.67
Ru 0.3674 0.2503 0.6177  1 Pm 2.67, 3 Y 2.68
Ru 0.6326 0.7497 0.3823  1 Pm 2.67, 3 Y 2.68
Y 0.2974 0.5536 0.8510  1 Ru 2.68

***

Q: Which of them is the least stable? A: *1*.

***

*1*
DFT (GGA-PBE) results for a geometry-optimized Pm2Zn3Ru structure.

Computed properties:
The calculation puts the calculated density at 7.858 g/cm³. The size of the total moment is 0.000 μB per formula unit.

a b c (Å): 4.3261 5.5880 6.0002
angles (deg): 76.89 68.87 67.23
Last column: nearest neighbours and their distance in Å.
Fractional coordinates of all 6 atoms:
Zn 0.8296 0.2401 0.1007  2 Ru 2.63, 2 Zn 2.76-2.85
Pm 0.5596 0.2029 0.6779  9 Zn 3.03-3.33, 2 Ru 3.04
Ru 0.1474 0.3875 0.3178  4 Zn 2.59-2.83
Pm 0.4527 0.8050 0.2897  3 Ru 3.02-3.04, 7 Zn 3.09-3.28
Zn 0.8384 0.6126 0.7107  3 Zn 2.55-2.76, 1 Ru 2.59
Zn 0.1725 0.7519 0.9031  3 Zn 2.55-2.85, 1 Ru 2.83

***

*2*
DFT (GGA-PBE) results for a geometry-optimized Pm2Zn3Ru structure.

Computed properties:
The calculation puts the calculated density at 7.432 g/cm³. The size of the total moment is 0.000 μB per formula unit.

a b c (Å): 4.8263 5.3817 6.2121
angles (deg): 115.67 112.86 90.00
Last column: nearest neighbours and their distance in Å.
Fractional coordinates of all 6 atoms:
Zn 0.0000 0.0000 0.0000  2 Ru 2.69
Pm 0.2861 0.7861 0.5723  4 Zn 2.87-2.97, 1 Ru 2.89
Zn 0.6142 0.6142 0.2284  1 Zn 2.31
Pm 0.7139 0.2139 0.4277  4 Zn 2.87-2.97, 1 Ru 2.89
Ru 0.0000 0.5000 0.0000  6 Zn 2.67-2.69, 2 Pm 2.89
Zn 0.3858 0.3858 0.7716  1 Zn 2.31

***

Q: Which of them is the least stable? A: *2*.

***

*1*
DFT (GGA-PBE) results for a geometry-optimized PmZnRu structure.

Computed properties:
The calculation puts the calculated density at 8.678 g/cm³. The size of the total moment is 0.000 μB per formula unit.

a b c (Å): 4.8550 4.8550 5.8395
angles (deg): 90.00 90.00 120.00
Last column: nearest neighbours and their distance in Å.
Fractional coordinates of all 6 atoms:
Ru 0.6667 0.3333 0.2500  5 Pm 2.80-2.92
Zn 0.0000 0.0000 0.0000  2 Zn 2.92, 6 Ru 3.16, 6 Pm 3.16
Ru 0.3333 0.6667 0.7500  5 Pm 2.80-2.92
Pm 0.3333 0.6667 0.2500  5 Ru 2.80-2.92
Pm 0.6667 0.3333 0.7500  5 Ru 2.80-2.92
Zn 0.0000 0.0000 0.5000  2 Zn 2.92, 6 Ru 3.16, 6 Pm 3.16

***

*2*
DFT (GGA-PBE) results for a geometry-optimized PmZnRu structure.

Computed properties:
The calculation puts the calculated density at 8.357 g/cm³. The size of the total moment is 0.000 μB per formula unit.

a b c (Å): 3.6965 4.3970 4.3970
angles (deg): 120.00 90.00 90.00
Last column: nearest neighbours and their distance in Å.
Fractional coordinates of all 3 atoms:
Zn 0.1668 0.0000 0.0000  3 Ru 2.54
Pm 0.6666 0.6667 0.3333  6 Zn 3.14, 6 Ru 3.14
Ru 0.1666 0.3333 0.6667  3 Zn 2.54

***

Q: Which of them is the least stable? A: *1*.

***

*1*
DFT (GGA-PBE) results for a geometry-optimized Pm12ZnRu6 structure.

Computed properties:
The calculation puts the calculated density at 7.327 g/cm³. The size of the total moment is 0.000 μB per formula unit.

a b c (Å): 8.3565 8.3565 8.3565
angles (deg): 100.98 100.98 100.98
Last column: nearest neighbours and their distance in Å.
Fractional coordinates of all 19 atoms:
Pm 0.5580 0.1788 0.4139  3 Ru 2.78-3.07
Ru 0.1368 0.6089 0.3014  4 Pm 2.72-2.94
Pm 0.9184 0.0711 0.6680  2 Ru 2.72-2.77, 1 Zn 2.93
Pm 0.0816 0.9289 0.3320  2 Ru 2.72-2.77, 1 Zn 2.93
Pm 0.0711 0.6680 0.9184  2 Ru 2.72-2.77, 1 Zn 2.93
Pm 0.5861 0.4420 0.8212  3 Ru 2.78-3.07
Pm 0.3320 0.0816 0.9289  2 Ru 2.72-2.77, 1 Zn 2.93
Zn 0.0000 0.0000 0.0000  6 Pm 2.93
Pm 0.8212 0.5861 0.4420  3 Ru 2.78-3.07
Ru 0.3014 0.1368 0.6089  4 Pm 2.72-2.94
Pm 0.4139 0.5580 0.1788  3 Ru 2.78-3.07
Pm 0.9289 0.3320 0.0816  2 Ru 2.72-2.77, 1 Zn 2.93
Pm 0.4420 0.8212 0.5861  3 Ru 2.78-3.07
Pm 0.1788 0.4139 0.5580  3 Ru 2.78-3.07
Ru 0.8632 0.3911 0.6986  4 Pm 2.72-2.94
Pm 0.6680 0.9184 0.0711  2 Ru 2.72-2.77, 1 Zn 2.93
Ru 0.6089 0.3014 0.1368  4 Pm 2.72-2.94
Ru 0.3911 0.6986 0.8632  4 Pm 2.72-2.94
Ru 0.6986 0.8632 0.3911  4 Pm 2.72-2.94

***

*2*
DFT (GGA-PBE) results for a geometry-optimized Pm12ZnRu6 structure.

Computed properties:
The calculation puts the calculated density at 7.855 g/cm³. The size of the total moment is 0.000 μB per formula unit.

a b c (Å): 8.7168 8.7168 8.7168
angles (deg): 109.47 109.47 109.47
Last column: nearest neighbours and their distance in Å.
Fractional coordinates of all 19 atoms:
Pm 0.8996 0.1966 0.7029  1 Ru 2.74
Pm 0.2971 0.4937 0.1966  1 Ru 2.74
Ru 0.8779 0.3779 0.5000  1 Ru 2.46, 2 Pm 2.74
Pm 0.1966 0.7029 0.8996  1 Ru 2.74
Pm 0.2971 0.1004 0.8034  1 Ru 2.74
Pm 0.4937 0.1966 0.2971  1 Ru 2.74
Ru 0.6221 0.5000 0.1221  1 Ru 2.46, 2 Pm 2.74
Pm 0.5063 0.8034 0.7029  1 Ru 2.74
Pm 0.8034 0.7029 0.5063  1 Ru 2.74
Pm 0.1966 0.2971 0.4937  1 Ru 2.74
Pm 0.7029 0.8996 0.1966  1 Ru 2.74
Pm 0.1004 0.8034 0.2971  1 Ru 2.74
Ru 0.3779 0.5000 0.8779  1 Ru 2.46, 2 Pm 2.74
Pm 0.7029 0.5063 0.8034  1 Ru 2.74
Zn 0.0000 0.0000 0.0000  12 Pm 3.59
Ru 0.1221 0.6221 0.5000  1 Ru 2.46, 2 Pm 2.74
Ru 0.5000 0.8779 0.3779  1 Ru 2.46, 2 Pm 2.74
Pm 0.8034 0.2971 0.1004  1 Ru 2.74
Ru 0.5000 0.1221 0.6221  1 Ru 2.46, 2 Pm 2.74

***

Q: Which of them is the least stable? A: *1*.

***

*1*
DFT (GGA-PBE) results for a geometry-optimized PmZrRu2 structure.

Computed properties:
The calculation puts the calculated density at 9.449 g/cm³. The size of the total moment is 0.000 μB per formula unit.

a b c (Å): 4.7761 4.7761 4.7761
angles (deg): 60.00 60.00 60.00
Last column: nearest neighbours and their distance in Å.
Fractional coordinates of all 4 atoms:
Zr 0.5000 0.5000 0.5000  8 Ru 2.92
Ru 0.2500 0.2500 0.2500  4 Zr 2.92, 4 Pm 2.92
Ru 0.7500 0.7500 0.7500  4 Pm 2.92, 4 Zr 2.92
Pm 0.0000 0.0000 0.0000  8 Ru 2.92

***

*2*
DFT (GGA-PBE) results for a geometry-optimized PmZrRu2 structure.

Computed properties:
The calculation puts the calculated density at 9.411 g/cm³. The size of the total moment is 0.000 μB per formula unit.

a b c (Å): 3.3532 3.3532 6.8795
angles (deg): 90.00 90.00 90.00
Last column: nearest neighbours and their distance in Å.
Fractional coordinates of all 4 atoms:
Ru 0.0000 0.0000 0.7745  4 Zr 2.83, 4 Pm 3.03, 1 Ru 3.10
Pm 0.5000 0.5000 0.5000  8 Ru 3.03, 4 Pm 3.35
Ru 0.0000 0.0000 0.2255  4 Zr 2.83, 4 Pm 3.03, 1 Ru 3.10
Zr 0.5000 0.5000 0.0000  8 Ru 2.83

***

Q: Which of them is the least stable? A: *1*.